Entry 1
## CaSnAs2Br (PBE)

Data for crystalline CaSnAs2Br at its relaxed geometry.

a = 5.2248 Å, b = 5.2248 Å, c = 5.6817 Å
α = 90.00°, β = 90.00°, γ = 90.00°
With the nearest neighbours (Å) after each atom.
Positions (direct):
As1 0.0000 0.5000 0.0000  2 Sn 2.61
As2 0.5000 0.0000 0.0000  2 Sn 2.61
Ca1 0.5000 0.5000 0.5000  4 Br 3.69, 8 As 3.86
Sn1 0.0000 0.0000 0.0000  4 As 2.61, 2 Br 2.84
Br1 0.0000 0.0000 0.5000  2 Sn 2.84

Mass density, Mg/m³: 4.16

=====

Entry 2
## CaSnAs2Br (PBE)

Data for crystalline CaSnAs2Br at its relaxed geometry.

a = 5.4817 Å, b = 5.4817 Å, c = 5.3854 Å
α = 90.00°, β = 90.00°, γ = 90.00°
With the nearest neighbours (Å) after each atom.
Positions (direct):
As1 0.0000 0.5000 0.0000  2 Ca 2.74
As2 0.5000 0.0000 0.0000  2 Ca 2.74
Ca1 0.0000 0.0000 0.0000  2 Br 2.69, 4 As 2.74
Sn1 0.5000 0.5000 0.5000  8 As 3.84, 4 Br 3.88
Br1 0.0000 0.0000 0.5000  2 Ca 2.69

Mass density, Mg/m³: 3.99

=====

The least stable of them is entry 2.

=====

Entry 1
## SrCaAs2Br (PBE)

Data for crystalline SrCaAs2Br at its relaxed geometry.

a = 5.4162 Å, b = 5.4162 Å, c = 5.5918 Å
α = 90.00°, β = 90.00°, γ = 90.00°
With the nearest neighbours (Å) after each atom.
Positions (direct):
Sr1 0.5000 0.5000 0.5000  4 Br 3.83, 8 As 3.89
As1 0.0000 0.5000 0.0000  2 Ca 2.71
As2 0.5000 0.0000 0.0000  2 Ca 2.71
Ca1 0.0000 0.0000 0.0000  4 As 2.71, 2 Br 2.80
Br1 0.0000 0.0000 0.5000  2 Ca 2.80

Mass density, Mg/m³: 3.62

=====

Entry 2
## SrCaAs2Br (PBE)

Data for crystalline SrCaAs2Br at its relaxed geometry.

a = 5.6251 Å, b = 5.6251 Å, c = 5.7308 Å
α = 90.00°, β = 90.00°, γ = 90.00°
With the nearest neighbours (Å) after each atom.
Positions (direct):
Sr1 0.0000 0.0000 0.0000  4 As 2.81, 2 Br 2.87
As1 0.0000 0.5000 0.0000  2 Sr 2.81
As2 0.5000 0.0000 0.0000  2 Sr 2.81
Ca1 0.5000 0.5000 0.5000  4 Br 3.98, 8 As 4.02
Br1 0.0000 0.0000 0.5000  2 Sr 2.87

Mass density, Mg/m³: 3.27

=====

The least stable of them is entry 2.

=====

Entry 1
## CaTeAs2Br (PBE)

Data for crystalline CaTeAs2Br at its relaxed geometry.

a = 5.6560 Å, b = 5.6560 Å, c = 5.1846 Å
α = 90.00°, β = 90.00°, γ = 90.00°
With the nearest neighbours (Å) after each atom.
Positions (direct):
As1 0.0000 0.5000 0.0000  2 Ca 2.83
As2 0.5000 0.0000 0.0000  2 Ca 2.83
Te1 0.5000 0.5000 0.5000  8 As 3.84, 4 Br 4.00
Ca1 0.0000 0.0000 0.0000  2 Br 2.59, 4 As 2.83
Br1 0.0000 0.0000 0.5000  2 Ca 2.59

Mass density, Mg/m³: 3.98

=====

Entry 2
## CaTeAs2Br (PBE)

Data for crystalline CaTeAs2Br at its relaxed geometry.

a = 5.3467 Å, b = 5.3467 Å, c = 5.6108 Å
α = 90.00°, β = 90.00°, γ = 90.00°
With the nearest neighbours (Å) after each atom.
Positions (direct):
As1 0.0000 0.5000 0.0000  2 Te 2.67
As2 0.5000 0.0000 0.0000  2 Te 2.67
Te1 0.0000 0.0000 0.0000  4 As 2.67, 2 Br 2.81
Ca1 0.5000 0.5000 0.5000  4 Br 3.78, 8 As 3.88
Br1 0.0000 0.0000 0.5000  2 Te 2.81

Mass density, Mg/m³: 4.11

=====

The least stable of them is entry 1.

=====

Entry 1
## CaTiAs2Br (PBE)

Data for crystalline CaTiAs2Br at its relaxed geometry.

a = 5.4496 Å, b = 4.6198 Å, c = 5.4496 Å
α = 90.00°, β = 90.00°, γ = 90.00°
With the nearest neighbours (Å) after each atom.
Positions (direct):
As1 0.0000 0.0000 0.5000  2 Br 2.72
As2 0.5000 0.0000 0.0000  2 Br 2.72
Ca1 0.5000 0.5000 0.5000  8 As 3.57, 4 Ti 3.85
Br1 0.0000 0.0000 0.0000  2 Ti 2.31
Ti1 0.0000 0.5000 0.0000  2 Br 2.31

Mass density, Mg/m³: 3.85

=====

Entry 2
## CaTiAs2Br (PBE)

Data for crystalline CaTiAs2Br at its relaxed geometry.

a = 4.8927 Å, b = 4.8927 Å, c = 5.2972 Å
α = 90.00°, β = 90.00°, γ = 90.00°
With the nearest neighbours (Å) after each atom.
Positions (direct):
As1 0.0000 0.5000 0.0000  2 Ti 2.45
As2 0.5000 0.0000 0.0000  2 Ti 2.45
Ca1 0.5000 0.5000 0.5000  4 Br 3.46, 8 As 3.61
Br1 0.0000 0.0000 0.5000  2 Ti 2.65
Ti1 0.0000 0.0000 0.0000  4 As 2.45, 2 Br 2.65

Mass density, Mg/m³: 4.16

=====

Entry 3
## CaTiAs2Br (PBE)

Data for crystalline CaTiAs2Br at its relaxed geometry.

a = 5.3426 Å, b = 5.3426 Å, c = 5.2436 Å
α = 90.00°, β = 90.00°, γ = 90.00°
With the nearest neighbours (Å) after each atom.
Positions (direct):
As1 0.0000 0.5000 0.0000  2 Ca 2.67
As2 0.5000 0.0000 0.0000  2 Ca 2.67
Ca1 0.0000 0.0000 0.0000  2 Br 2.62, 4 As 2.67
Br1 0.0000 0.0000 0.5000  2 Ca 2.62
Ti1 0.5000 0.5000 0.5000  8 As 3.74, 4 Br 3.78

Mass density, Mg/m³: 3.52

=====

The least stable of them is entry 3.

=====

Entry 1
## CaTlAs2Br (PBE)

Data for crystalline CaTlAs2Br at its relaxed geometry.

a = 5.2461 Å, b = 5.2461 Å, c = 5.9341 Å
α = 90.00°, β = 90.00°, γ = 90.00°
With the nearest neighbours (Å) after each atom.
Positions (direct):
Tl1 0.0000 0.0000 0.0000  4 As 2.62
Ca1 0.5000 0.5000 0.5000  4 Br 3.71, 8 As 3.96
As1 0.0000 0.5000 0.0000  2 Tl 2.62
As2 0.5000 0.0000 0.0000  2 Tl 2.62
Br1 0.0000 0.0000 0.5000  2 Tl 2.97

Mass density, Mg/m³: 4.82

=====

Entry 2
## CaTlAs2Br (PBE)

Data for crystalline CaTlAs2Br at its relaxed geometry.

a = 5.6257 Å, b = 5.6257 Å, c = 5.6580 Å
α = 90.00°, β = 90.00°, γ = 90.00°
With the nearest neighbours (Å) after each atom.
Positions (direct):
Tl1 0.5000 0.5000 0.5000  4 Br 3.98, 8 As 3.99
Ca1 0.0000 0.0000 0.0000  4 As 2.81, 2 Br 2.83
As1 0.0000 0.5000 0.0000  2 Ca 2.81
As2 0.5000 0.0000 0.0000  2 Ca 2.81
Br1 0.0000 0.0000 0.5000  2 Ca 2.83

Mass density, Mg/m³: 4.40

=====

The least stable of them is entry 1.

=====

Entry 1
## CaVAs2Br (PBE)

Data for crystalline CaVAs2Br at its relaxed geometry.

a = 5.3745 Å, b = 5.3745 Å, c = 5.3017 Å
α = 90.00°, β = 90.00°, γ = 90.00°
With the nearest neighbours (Å) after each atom.
Positions (direct):
As1 0.0000 0.5000 0.0000  2 Ca 2.69
As2 0.5000 0.0000 0.0000  2 Ca 2.69
Ca1 0.0000 0.0000 0.0000  2 Br 2.65, 4 As 2.69
Br1 0.0000 0.0000 0.5000  2 Ca 2.65
V1 0.5000 0.5000 0.5000  8 As 3.77, 4 Br 3.80

Mass density, Mg/m³: 3.48

=====

Entry 2
## CaVAs2Br (PBE)

Data for crystalline CaVAs2Br at its relaxed geometry.

a = 4.7418 Å, b = 4.7418 Å, c = 5.4549 Å
α = 90.00°, β = 90.00°, γ = 90.00°
With the nearest neighbours (Å) after each atom.
Positions (direct):
As1 0.0000 0.5000 0.0000  2 V 2.37
As2 0.5000 0.0000 0.0000  2 V 2.37
Ca1 0.5000 0.5000 0.5000  4 Br 3.35, 8 As 3.61
Br1 0.0000 0.0000 0.5000  2 V 2.73
V1 0.0000 0.0000 0.0000  4 As 2.37

Mass density, Mg/m³: 4.34

=====

The least stable of them is entry 1.